Entry 1:
A plane-wave DFT calculation with PBEsol was carried out for a relaxed H2Rh2W crystal.

a b c (Å): 2.7924 2.7924 12.3709
angles (deg): 90.00 90.00 90.00
Space group I4/mmm (No. 139)
One atom of each set of equivalent atoms:
H1 0.0000 0.5000 0.2500 (multiplicity 4)
Rh1 0.0000 0.0000 0.1497 (multiplicity 4)
W1 0.0000 0.0000 0.5000 (multiplicity 2)


Entry 2:
A plane-wave DFT calculation with PBEsol was carried out for a relaxed ZrScRu2 crystal.

a b c (Å): 3.2302 4.3539 9.3844
angles (deg): 90.00 90.00 90.00
Space group Imm2 (No. 44)
One atom of each set of equivalent atoms:
Zr1 0.0000 0.0000 0.0000 (multiplicity 2)
Sc1 0.0000 0.5000 0.7672 (multiplicity 2)
Ru1 0.0000 0.0000 0.5145 (multiplicity 2)
Ru2 0.0000 0.5000 0.2574 (multiplicity 2)


| no. | total energy (eV per atom) | total moment (μB per formula unit) |
| --- | --- | --- |
| 1 | -7.4496 | 0.00 |
| 2 | -9.3805 | 0.00 |